# ZnOs2Se, optimized geometry, DFT PBEsol
data_ZnOs2Se
_chemical_formula_sum 'Zn1 Os2 Se1'
_cell_length_a 2.835
_cell_length_b 2.835
_cell_length_c 7.785
_cell_angle_alpha 90.00
_cell_angle_beta 90.00
_cell_angle_gamma 90.00
_symmetry_space_group_name_H-M 'P 4 m m'
_symmetry_Int_Tables_number 99
loop_
_symmetry_equiv_pos_as_xyz
'x,y,z'
'-y,x,z'
'-x,-y,z'
'y,-x,z'
'-x,y,z'
'y,x,z'
'x,-y,z'
'-y,-x,z'
loop_
_atom_site_label
_atom_site_type_symbol
_atom_site_fract_x
_atom_site_fract_y
_atom_site_fract_z
Zn1 Zn 0.000 0.000 0.000
Os1 Os 0.000 0.000 0.443
Os2 Os 0.500 0.500 0.223
Se1 Se 0.500 0.500 0.669
# final energy = -7.164 eV/atom
# energy above the most stable polymorph in this dataset = 0.0000 eV/atom
# energy relative to the elements, uncorrected = 0.302 eV/atom